DFT (PBE with a Hubbard U) results for a relaxed FeCuAsO6 crystal.

abc: 4.9326 4.9326 8.7276
angles: 90.00 90.00 120.00
Last column: nearest neighbours and their distance in Å.
Fractional coordinates of all 18 atoms:
Fe  0.3333  0.6667  0.2500  6 O 1.94
Fe  0.6667  0.3333  0.7500  6 O 1.94
Cu  0.0000  0.0000  0.0000  6 O 2.09
Cu  0.0000  0.0000  0.5000  6 O 2.09
As  0.3333  0.6667  0.7500  6 O 1.86
As  0.6667  0.3333  0.2500  6 O 1.86
O  0.0128  0.3611  0.6316  1 As 1.86, 1 Fe 1.94
O  0.0128  0.6517  0.8684  1 As 1.86, 1 Fe 1.94
O  0.3483  0.3611  0.8684  1 As 1.86, 1 Fe 1.94
O  0.3483  0.9872  0.6316  1 As 1.86, 1 Fe 1.94
O  0.3611  0.0128  0.1316  1 As 1.86, 1 Fe 1.94
O  0.3611  0.3483  0.3684  1 As 1.86, 1 Fe 1.94
O  0.6389  0.6517  0.6316  1 As 1.86, 1 Fe 1.94
O  0.6389  0.9872  0.8684  1 As 1.86, 1 Fe 1.94
O  0.6517  0.0128  0.3684  1 As 1.86, 1 Fe 1.94
O  0.6517  0.6389  0.1316  1 As 1.86, 1 Fe 1.94
O  0.9872  0.3483  0.1316  1 As 1.86, 1 Fe 1.94
O  0.9872  0.6389  0.3684  1 As 1.86, 1 Fe 1.94

total energy	-5.712	eV/atom
symmetry	No. 163